# 1
Below is a geometry-optimized HWSN2 structure, with properties calculated at the PBE level.

Cell lengths 3.866, 3.866, 4.983 Å; angles 90.00, 90.00, 90.00 degrees
Positions (direct):
1 H 0.500 0.500 0.500
2 S 0.000 0.000 0.500
3 W 0.000 0.000 0.000
4 N 0.000 0.500 0.000
5 N 0.500 0.000 0.000

Values from the calculation:
Spin magnetization ... 0.56 μB/cell
VASP energy ... -6.551 eV/atom
Polymorph energy (0 for the lowest one) ... 0 meV per atom
DOS(E_F) ... 2.978 states/eV/cell
Space group ... P4/mmm

---

# 2
Below is a geometry-optimized ZnNi2Sb structure, with properties calculated at the PBE level.

Cell lengths 4.708, 4.708, 4.082 Å; angles 75.09, 75.09, 42.23 degrees
Positions (direct):
1 Ni 0.990 0.990 0.060
2 Ni 0.758 0.758 0.704
3 Sb 0.495 0.495 0.552
4 Zn 0.256 0.256 0.185

Values from the calculation:
Spin magnetization ... 0.00 μB/cell
VASP energy ... -4.313 eV/atom
E_form (uncorrected) ... -0.074 eV per atom
DOS(E_F) ... 1.599 states/eV/cell
Space group ... Cm

---

# 3
Below is a geometry-optimized TbMnV2 structure, with properties calculated at the PBE level.

Cell lengths 3.996, 3.996, 5.793 Å; angles 69.82, 69.82, 60.00 degrees
Positions (direct):
1 Mn 0.500 0.500 0.500
2 Tb 0.000 0.000 0.000
3 V 0.798 0.798 0.606
4 V 0.202 0.202 0.394

Values from the calculation:
Spin magnetization ... 0.00 μB/cell
VASP energy ... -7.723 eV/atom
Formation enthalpy at 0 K ... 287 meV/atom
DOS(E_F) ... 4.440 states/eV/cell
Space group ... R-3m